CsOsAuSeS2 | PBE | relaxed

## Properties
The calculation puts the total energy at -112.7 eV for the cell shown.

a = 3.681 Å, b = 17.843 Å, c = 9.837 Å
α = 90.00°, β = 90.00°, γ = 90.00°
Space group Cmcm (No. 63)
Symmetry-distinct sites (fractional):
Cs1 0.000 0.210 0.250 x4
Os1 0.000 0.500 0.000 x4
Au1 0.000 0.119 0.750 x4
Se1 0.000 0.458 0.750 x4
S1 0.000 0.086 0.522 x8

***

CsOsAuSe3 | PBE | relaxed

## Properties
The calculation puts the total energy at -106.0 eV for the cell shown.

a = 3.890 Å, b = 16.429 Å, c = 10.128 Å
α = 90.00°, β = 90.00°, γ = 90.00°
Space group Cmcm (No. 63)
Symmetry-distinct sites (fractional):
Cs1 0.000 0.247 0.250 x4
Os1 0.000 0.000 0.000 x4
Au1 0.000 0.436 0.750 x4
Se1 0.000 0.057 0.750 x4
Se2 0.000 0.400 0.512 x8

***

Please write out number 2 again, unchanged.
CsOsAuSe3 | PBE | relaxed

## Properties
The calculation puts the total energy at -106.0 eV for the cell shown.

a = 3.890 Å, b = 16.429 Å, c = 10.128 Å
α = 90.00°, β = 90.00°, γ = 90.00°
Space group Cmcm (No. 63)
Symmetry-distinct sites (fractional):
Cs1 0.000 0.247 0.250 x4
Os1 0.000 0.000 0.000 x4
Au1 0.000 0.436 0.750 x4
Se1 0.000 0.057 0.750 x4
Se2 0.000 0.400 0.512 x8

***

- What is the formula in the second record?
  CsOsAuSe3